(1)
## ScSiS2Cl (meta-GGA SCAN)

Data for a PBEsol-optimized structure of ScSiS2Cl.

Computed properties:
ΔE_f (raw): -2.654 eV per formula unit
symmetry: P4/mmm, No. 123

```
ScSiS2Cl
1.0
4.590 0.000 0.000
0.000 4.590 0.000
0.000 0.000 4.452
Sc Si S Cl
1 1 2 1
direct
0.000 0.000 0.000
0.500 0.500 0.500
0.000 0.500 0.500
0.500 0.000 0.500
0.500 0.500 0.000
```

(2)
## ScTaS2Cl (meta-GGA SCAN)

Data for a PBEsol-optimized structure of ScTaS2Cl.

Computed properties:
ΔE_f (raw): -3.117 eV per formula unit
symmetry: P4/mmm, No. 123

```
ScTaS2Cl
1.0
4.737 0.000 0.000
0.000 4.737 0.000
0.000 0.000 4.709
Sc Ta S Cl
1 1 2 1
direct
0.000 0.000 0.000
0.500 0.500 0.500
0.000 0.500 0.500
0.500 0.000 0.500
0.500 0.500 0.000
```

How do the records compare in spin magnetization? In the order shown, they have 0.68, 1.44 μB per formula unit.